# 1
Entry from Alexandria via LeMat-Bulk: a relaxed structure of La6TlHg5 (GGA-PBE).

Lattice parameters (Å, degrees): 9.590 9.590 5.535 106.56 106.56 48.52
Element x y z (fractional)
La 0.080 0.584 0.332
La 0.246 0.754 0.000
La 0.416 0.920 0.668
La 0.584 0.080 0.332
La 0.754 0.246 0.000
La 0.920 0.416 0.668
Tl 0.500 0.500 0.500
Hg 0.000 0.000 0.500
Hg 0.167 0.167 0.168
Hg 0.335 0.335 0.835
Hg 0.665 0.665 0.165
Hg 0.833 0.833 0.832

Results
Formation enthalpy at 0 K ... -0.49 eV per atom
Volume ... 30.2 Å³ per atom
Total magnetic moment ... 2.51 μB per formula unit

***

# 2
Entry from Alexandria via LeMat-Bulk: a relaxed structure of Er3ZrTl4S8 (GGA-PBE).

Lattice parameters (Å, degrees): 9.017 9.017 9.017 51.22 51.22 51.22
Element x y z (fractional)
Er 0.000 0.500 0.500
Er 0.500 0.000 0.500
Er 0.500 0.500 0.000
Zr 0.000 0.000 0.000
Tl 0.000 0.000 0.500
Tl 0.000 0.500 0.000
Tl 0.500 0.000 0.000
Tl 0.500 0.500 0.500
S 0.223 0.223 0.743
S 0.223 0.743 0.223
S 0.257 0.777 0.777
S 0.269 0.269 0.269
S 0.731 0.731 0.731
S 0.743 0.223 0.223
S 0.777 0.257 0.777
S 0.777 0.777 0.257

Results
ΔE_f (raw) ... -132.3 kJ per mole of atoms
Volume ... 25.7 Å³ per atom
Total magnetic moment ... 0.00 μB per formula unit

***

# 3
Entry from Alexandria via LeMat-Bulk: a relaxed structure of RbSnB (GGA-PBE).

Lattice parameters (Å, degrees): 7.195 7.195 7.195 148.41 122.03 67.53
Element x y z (fractional)
Rb 0.250 0.250 0.000
Rb 0.750 0.750 0.000
Sn 0.295 0.000 0.295
Sn 0.705 0.000 0.705
B 0.118 0.500 0.618
B 0.882 0.500 0.382

Results
Formation enthalpy at 0 K ... 0.24 eV per atom
Volume ... 27.2 Å³ per atom
Total magnetic moment ... 0.00 μB per formula unit

***

# 4
Entry from Alexandria via LeMat-Bulk: a relaxed structure of MnCo2Rh (GGA-PBE).

Lattice parameters (Å, degrees): 2.630 3.487 5.174 90.00 90.00 90.00
Element x y z (fractional)
Mn 0.000 0.000 0.000
Co 0.500 0.500 0.240
Co 0.500 0.500 0.760
Rh 0.000 0.000 0.500

Results
Formation enthalpy at 0 K ... 0.10 eV per atom
Volume ... 11.9 Å³ per atom
Total magnetic moment ... 4.37 μB per formula unit

***

# 5
Entry from Alexandria via LeMat-Bulk: a relaxed structure of BH3 (GGA-PBE).

Lattice parameters (Å, degrees): 5.508 5.508 3.935 96.13 96.13 136.74
Element x y z (fractional)
B 0.085 0.915 0.000
B 0.915 0.085 0.000
H 0.065 0.350 0.230
H 0.161 0.161 0.854
H 0.350 0.065 0.230
H 0.650 0.935 0.770
H 0.839 0.839 0.146
H 0.935 0.650 0.770

Results
Uncorrected energy ... -4.2392 eV per atom
Volume ... 9.8 Å³ per atom
Total magnetic moment ... 0.00 μB per formula unit